Here is a crystal of MgRePt2 relaxed with PBEsol from Alexandria. Energies are from meta-GGA SCAN.

Lattice parameters (Å, degrees): 3.230 3.230 5.856 90.00 90.00 90.00
Space group P4mm (No. 99)
Symmetry-distinct sites (fractional):
Mg 0.000 0.000 0.000 [1 per cell]
Re 0.500 0.500 0.714 [1 per cell]
Pt 0.000 0.000 0.497 [1 per cell]
Pt 0.500 0.500 0.228 [1 per cell]

Values from the calculation:
- D(E_F): 2.77 states/eV per cell
- DFT formation energy: -0.08 eV/atom
- Final energy: -54.191 eV per atom